Below is a relaxed Mn2FeRu crystal, with properties calculated at the PBE-GGA level.

abc: 4.4315 4.4315 4.4688
angles: 100.22 100.22 34.20
Last column: nearest neighbours and their distance in Å.
Fractional positions:
Mn 0.0000 0.0000 0.0000  5 Mn 2.52-2.61, 4 Ru 2.55-2.63, 3 Fe 2.57-2.62
Mn 0.7478 0.7478 0.2249  5 Mn 2.52-2.61, 4 Fe 2.55-2.62, 3 Ru 2.64
Fe 0.2510 0.2510 0.7345  3 Ru 2.51-2.52, 7 Mn 2.55-2.62, 2 Fe 2.61
Ru 0.5022 0.5022 0.5111  3 Fe 2.51-2.52, 7 Mn 2.55-2.64, 2 Ru 2.61

Summary:
The total energy comes out at -8.929 eV per atom. The calculated volume comes out at 48.47 Å³/f.u. Its space group is Cm. The value obtained for the formation enthalpy at 0 K is 0.0902 eV per atom.


Below is a relaxed Th6As3SeS2 crystal, with properties calculated at the PBE-GGA level.

abc: 7.2545 7.2545 7.1789
angles: 99.67 99.67 119.72
Last column: nearest neighbours and their distance in Å.
Fractional positions:
Th 0.0758 0.4183 0.7553  2 S 2.90-2.91, 3 As 2.96-3.00, 1 Se 2.99
Th 0.2371 0.2371 0.2409  2 S 2.90, 3 As 2.93-2.98, 1 Se 2.98
Th 0.4183 0.0758 0.7553  2 S 2.90-2.91, 3 As 2.96-3.00, 1 Se 2.99
Th 0.5817 0.9242 0.2447  2 S 2.90-2.91, 3 As 2.96-3.00, 1 Se 2.99
Th 0.7629 0.7629 0.7591  2 S 2.90, 3 As 2.93-2.98, 1 Se 2.98
Th 0.9242 0.5817 0.2447  2 S 2.90-2.91, 3 As 2.96-3.00, 1 Se 2.99
As 0.0000 0.0000 0.5000  6 Th 2.93-3.00
As 0.3379 0.6621 0.5000  6 Th 2.96-3.00
As 0.6621 0.3379 0.5000  6 Th 2.96-3.00
Se 0.5000 0.5000 0.0000  6 Th 2.98-2.99
S 0.1677 0.8323 0.0000  6 Th 2.90-2.91
S 0.8323 0.1677 0.0000  6 Th 2.90-2.91

Summary:
The calculation puts the uncorrected formation energy at -1573 meV per atom. The total energy comes out at -7.423 eV per atom. The calculated volume comes out at 309.22 Å³/f.u. Its space group is C2/m.


Below is a relaxed Tb2Y8Tm3 crystal, with properties calculated at the PBE-GGA level.

abc: 10.8494 10.8494 5.6055
angles: 90.00 90.00 139.12
Last column: nearest neighbours and their distance in Å.
Fractional positions:
Tb 0.2415 0.7585 0.0000  8 Y 3.36-3.57
Tb 0.7585 0.2415 0.0000  8 Y 3.36-3.57
Y 0.1327 0.8673 0.5000  2 Tm 3.44, 2 Tb 3.57, 6 Y 3.59-3.85
Y 0.1807 0.3939 0.0000  1 Tm 3.07, 1 Y 3.22
Y 0.3327 0.6673 0.5000  2 Tb 3.36, 4 Y 3.46
Y 0.3939 0.1807 0.0000  1 Tm 3.07, 1 Y 3.22
Y 0.6061 0.8193 0.0000  1 Tm 3.07, 1 Y 3.22
Y 0.6673 0.3327 0.5000  2 Tb 3.36, 4 Y 3.46
Y 0.8193 0.6061 0.0000  1 Tm 3.07, 1 Y 3.22
Y 0.8673 0.1327 0.5000  2 Tm 3.44, 2 Tb 3.57, 6 Y 3.59-3.85
Tm 0.0000 0.0000 0.0000  4 Y 3.07
Tm 0.2819 0.2819 0.5000  3 Tm 3.30-3.52, 6 Y 3.44-3.54
Tm 0.7181 0.7181 0.5000  3 Tm 3.30-3.52, 6 Y 3.44-3.54

Summary:
The total energy comes out at -5.482 eV per atom. The calculated volume comes out at 431.85 Å³/f.u. Its space group is Cmmm. The value obtained for the formation enthalpy at 0 K is 0.2400 eV per atom.